{
  "formula": "Pr3Sm2ErSe6",
  "functional": "GGA-PBE",
  "state": "relaxed",
  "lattice_angstrom": [[7.239, -0.016, -0.002], [-3.632, 6.263, -0.002], [-1.206, -2.088, 6.929]],
  "species": ["Pr", "Pr", "Pr", "Se", "Se", "Se", "Se", "Se", "Se", "Er", "Sm", "Sm"],
  "fractional_positions": [[0.172, 0.828, 0.500], [0.500, 0.500, 0.500], [0.828, 0.172, 0.500], [0.921, 0.597, 0.764], [0.245, 0.245, 0.760], [0.403, 0.079, 0.236], [0.755, 0.755, 0.240], [0.079, 0.403, 0.236], [0.597, 0.921, 0.764], [0.000, 0.000, 0.000], [0.333, 0.667, 0.000], [0.667, 0.333, 0.000]],
  "dos_at_fermi_per_ev_atom": 0.467,
  "crystal_system": "monoclinic",
  "e_form_raw_ev_per_atom": -1.815,
  "mass_density_g_cm3": 7.22
}